Ga2SbAu (PBE-GGA, relaxed); space-group type = I-42d; size of the total moment = 0.000 μB per atom; ΔE_f (raw) = 0.022 eV per atom; E_tot = -3.34 eV per atom
1.0
6.393 0.000 0.000
0.000 6.393 0.000
0.000 0.000 10.798
Ga Sb Au
8 4 4
direct
0.230 0.250 0.125
0.250 0.730 0.375
0.250 0.770 0.875
0.270 0.250 0.625
0.730 0.750 0.625
0.750 0.230 0.875
0.750 0.270 0.375
0.770 0.750 0.125
0.000 0.000 0.500
0.000 0.500 0.750
0.500 0.000 0.250
0.500 0.500 0.000
0.000 0.000 0.000
0.000 0.500 0.250
0.500 0.000 0.750
0.500 0.500 0.500